Entry a
LaNpS2 | PBE-GGA | optimized geometry

Calculated volume (Å³ per atom): 23.23
Crystal system: trigonal

Lattice parameters (Å, degrees): 4.0283 4.0283 19.8400 90.00 90.00 120.00
Closest atoms and distances in Å follow each position.
Space group R-3m (No. 166, hexagonal axes)
Unique sites:
La 0.0000 0.0000 0.0000  6 S 2.93
Np 0.0000 0.0000 0.5000  6 S 2.78
S 0.0000 0.0000 0.2435  3 Np 2.78, 3 La 2.93


Entry b
LaNpS2 | PBE-GGA | optimized geometry

Calculated volume (Å³ per atom): 23.66
Crystal system: trigonal

Lattice parameters (Å, degrees): 3.8877 3.8877 21.6893 90.00 90.00 120.00
Closest atoms and distances in Å follow each position.
Space group R3m (No. 160, hexagonal axes)
Unique sites:
La 0.0000 0.0000 0.0000  6 S 2.88-2.98
Np 0.0000 0.0000 0.8254  6 S 2.78-2.89
S 0.0000 0.0000 0.4167  3 Np 2.78, 3 La 2.88
S 0.0000 0.0000 0.5762  3 Np 2.89, 3 La 2.98


Preferred: entry a; penalty for the next structure: 145 meV per atom.


Entry a
La3NpS6 | PBE-GGA | optimized geometry

Calculated volume (Å³ per atom): 29.53
Crystal system: trigonal

Lattice parameters (Å, degrees): 12.0363 12.0363 14.1221 90.00 90.00 120.00
Closest atoms and distances in Å follow each position.
Space group R-3 (No. 148, hexagonal axes)
Unique sites:
La 0.0463 0.2693 0.2029  6 S 2.87-2.94
Np 0.0000 0.0000 0.0000  6 S 2.75
Np 0.0000 0.0000 0.5000  6 S 2.79
S 0.0255 0.2121 0.4015  1 Np 2.79, 3 La 2.87-2.94
S 0.0302 0.1901 0.8774  1 Np 2.75, 3 La 2.87-2.93


Entry b
La3NpS6 | PBE-GGA | optimized geometry

Calculated volume (Å³ per atom): 26.48
Crystal system: monoclinic

Lattice parameters (Å, degrees): 11.4129 4.1461 11.7107 90.00 107.12 90.00
Closest atoms and distances in Å follow each position.
Space group P2_1/m (No. 11)
Unique sites:
La 0.0783 0.2500 0.1704  6 S 2.80-2.94
La 0.1841 0.7500 0.5092  7 S 2.81-3.12
La 0.3385 0.2500 0.9196  6 S 2.82-2.94
Np 0.4548 0.2500 0.3183  8 S 2.86-3.19
S 0.0264 0.2500 0.3896  4 La 2.80-2.98
S 0.0919 0.2500 0.9284  4 La 2.84-2.88
S 0.2573 0.7500 0.2853  3 La 2.94-2.98, 2 Np 3.00, 1 S 3.18
S 0.3207 0.7500 0.7523  3 La 2.81-2.82, 1 Np 2.92
S 0.3965 0.2500 0.5437  3 Np 2.86-2.91, 2 La 3.12
S 0.4171 0.7500 0.1039  3 La 2.88-2.94, 1 S 3.18, 2 Np 3.19


Preferred: entry a; penalty for the next structure: 22 meV per atom.


Entry a
LaNpSb2 | PBE-GGA | optimized geometry

Calculated volume (Å³ per atom): 32.51
Crystal system: trigonal

Lattice parameters (Å, degrees): 4.5006 4.5006 22.2420 90.00 90.00 120.00
Closest atoms and distances in Å follow each position.
Space group R-3m (No. 166, hexagonal axes)
Unique sites:
La 0.0000 0.0000 0.0000  6 Sb 3.25
Np 0.0000 0.0000 0.5000  6 Sb 3.13
Sb 0.0000 0.0000 0.2453  3 Np 3.13, 3 La 3.25


Entry b
LaNpSb2 | PBE-GGA | optimized geometry

Calculated volume (Å³ per atom): 28.28
Crystal system: tetragonal

Lattice parameters (Å, degrees): 5.8289 5.8289 3.3294 90.00 90.00 90.00
Closest atoms and distances in Å follow each position.
Space group P4/mmm (No. 123)
Unique sites:
La 0.0000 0.0000 0.0000  2 La 3.33, 8 Sb 3.36
Np 0.5000 0.5000 0.0000  2 Np 3.33, 8 Sb 3.36
Sb 0.0000 0.5000 0.5000  2 Sb 3.33, 4 Np 3.36, 4 La 3.36


Preferred: entry a; penalty for the next structure: 141 meV per atom.


Entry a
LaNpSe3 | PBE-GGA | optimized geometry

Calculated volume (Å³ per atom): 27.03
Crystal system: orthorhombic

Lattice parameters (Å, degrees): 4.2197 6.9430 9.2255 90.00 90.00 90.00
Closest atoms and distances in Å follow each position.
Space group Pmmn (No. 59, origin choice 2)
Unique sites:
La 0.2500 0.2500 0.1493  6 Se 2.95-3.14
Np 0.2500 0.7500 0.4024  7 Se 2.89-3.02
Se 0.2500 0.5175 0.6683  3 Np 2.89-2.94, 2 La 3.14, 1 Se 3.23
Se 0.2500 0.7500 0.0748  2 La 2.95, 1 Np 3.02


Entry b
LaNpSe3 | PBE-GGA | optimized geometry

Calculated volume (Å³ per atom): 26.71
Crystal system: orthorhombic

Lattice parameters (Å, degrees): 7.8038 4.2283 16.1917 90.00 90.00 90.00
Closest atoms and distances in Å follow each position.
Space group Pnma (No. 62)
Unique sites:
La 0.1316 0.2500 0.2030  7 Se 2.99-3.27
Np 0.2328 0.7500 0.4602  7 Se 2.91-3.10
Se 0.0106 0.2500 0.3965  3 Np 2.92-3.00, 1 La 3.27
Se 0.1268 0.7500 0.0635  3 Np 2.91-3.10, 2 La 3.09
Se 0.1557 0.2500 0.7838  1 Np 2.98, 4 La 2.99-3.09, 1 Se 3.31


Preferred: entry b; penalty for the next structure: 34 meV per atom.


Entry a
LaNpTe2 | PBE-GGA | optimized geometry

Calculated volume (Å³ per atom): 29.04
Crystal system: tetragonal

Lattice parameters (Å, degrees): 5.4980 5.4980 3.8423 90.00 90.00 90.00
Closest atoms and distances in Å follow each position.
Space group P4/mmm (No. 123)
Unique sites:
La 0.0000 0.0000 0.0000  8 Te 3.35
Np 0.5000 0.5000 0.0000  8 Te 3.35
Te 0.0000 0.5000 0.5000  4 Np 3.35, 4 La 3.35


Entry b
LaNpTe2 | PBE-GGA | optimized geometry

Calculated volume (Å³ per atom): 31.97
Crystal system: trigonal

Lattice parameters (Å, degrees): 4.4716 4.4716 22.1566 90.00 90.00 120.00
Closest atoms and distances in Å follow each position.
Space group R-3m (No. 166, hexagonal axes)
Unique sites:
La 0.0000 0.0000 0.0000  6 Te 3.23
Np 0.0000 0.0000 0.5000  6 Te 3.12
Te 0.0000 0.0000 0.2458  3 Np 3.12, 3 La 3.23


Preferred: entry b; penalty for the next structure: 129 meV per atom.


Entry a
La2O | PBE-GGA | optimized geometry

Calculated volume (Å³ per atom): 22.80
Crystal system: monoclinic

Lattice parameters (Å, degrees): 4.5557 4.5491 6.9635 90.00 108.57 90.00
Closest atoms and distances in Å follow each position.
Space group C2/m (No. 12)
Unique sites:
La 0.1237 0.0000 0.2389  4 O 2.74-2.80
O 0.0000 0.5000 0.0000  8 La 2.74-2.80


Entry b
La2O | PBE-GGA | optimized geometry

Calculated volume (Å³ per atom): 23.15
Crystal system: tetragonal

Lattice parameters (Å, degrees): 3.6866 3.6866 5.1089 90.00 90.00 90.00
Closest atoms and distances in Å follow each position.
Space group P4/mmm (No. 123)
Unique sites:
La 0.0000 0.0000 0.0000  2 O 2.55
La 0.5000 0.5000 0.5000  4 O 2.61
O 0.0000 0.0000 0.5000  6 La 2.55-2.61


Preferred: entry b; penalty for the next structure: 592 meV per atom.